No. 1
The following is a DFT calculation (PBE) of crystalline YAs2PbBr at its relaxed geometry.

Calculated values
- Raw formation energy: -0.209 eV/atom
- Fermi-level density of states: 1.001 states/eV per atom
- Calculated total energy: -4.44 eV/atom
- Calculated density: 5.32 g cm⁻³

Unit cell a=5.4833 b=5.4833 c=5.4556 alpha=90.00 beta=90.00 gamma=90.00
Last column: nearest neighbours and their distance in Å.
Fractional positions:
Y: 0.0000 0.0000 0.0000  2 Br 2.73, 4 As 2.74
As: 0.0000 0.5000 0.0000  2 Y 2.74
As: 0.5000 0.0000 0.0000  2 Y 2.74
Pb: 0.5000 0.5000 0.5000  8 As 3.87, 4 Br 3.88
Br: 0.0000 0.0000 0.5000  2 Y 2.73


No. 2
The following is a DFT calculation (PBE) of crystalline SrTc2O8 at its relaxed geometry.

Calculated values
- Raw formation energy: -0.997 eV/atom
- Fermi-level density of states: 0.557 states/eV per atom
- Calculated total energy: -6.64 eV/atom
- Calculated density: 4.86 g cm⁻³

Unit cell a=4.7713 b=4.7713 c=6.1812 alpha=90.00 beta=90.00 gamma=90.00
Last column: nearest neighbours and their distance in Å.
Fractional positions:
Sr: 0.0000 0.0000 0.0000  8 O 2.57
Tc: 0.0000 0.5000 0.5000  8 O 2.05
Tc: 0.5000 0.0000 0.5000  8 O 2.05
O: 0.2505 0.2505 0.3121  2 Tc 2.05
O: 0.2505 0.2505 0.6879  2 Tc 2.05
O: 0.2505 0.7495 0.3121  2 Tc 2.05
O: 0.2505 0.7495 0.6879  2 Tc 2.05
O: 0.7495 0.2505 0.3121  2 Tc 2.05
O: 0.7495 0.2505 0.6879  2 Tc 2.05
O: 0.7495 0.7495 0.3121  2 Tc 2.05
O: 0.7495 0.7495 0.6879  2 Tc 2.05


No. 3
The following is a DFT calculation (PBE) of crystalline Sr5Li at its relaxed geometry.

Calculated values
- Fermi-level density of states: 1.221 states/eV per atom
- Calculated total energy: -1.61 eV/atom
- Formation enthalpy at 0 K: 0.63 eV/f.u.
- Calculated density: 2.41 g cm⁻³

Unit cell a=10.1302 b=10.1302 c=10.1302 alpha=128.91 beta=128.91 gamma=75.15
Last column: nearest neighbours and their distance in Å.
Fractional positions:
Sr: 0.0000 0.0000 0.0000  8 Sr 4.00, 2 Li 4.01
Sr: 0.0196 0.5196 0.8250  2 Li 3.70, 4 Sr 4.00-4.06
Sr: 0.1946 0.0196 0.5000  2 Li 3.70, 4 Sr 4.00-4.06
Sr: 0.3054 0.8054 0.8250  2 Li 3.70, 4 Sr 4.00-4.06
Sr: 0.4804 0.3054 0.5000  2 Li 3.70, 4 Sr 4.00-4.06
Sr: 0.5000 0.5000 0.0000  8 Sr 4.00, 2 Li 4.01
Sr: 0.5196 0.6946 0.5000  2 Li 3.70, 4 Sr 4.00-4.06
Sr: 0.6946 0.1946 0.1750  2 Li 3.70, 4 Sr 4.00-4.06
Sr: 0.8054 0.9804 0.5000  2 Li 3.70, 4 Sr 4.00-4.06
Sr: 0.9804 0.4804 0.1750  2 Li 3.70, 4 Sr 4.00-4.06
Li: 0.2500 0.2500 0.0000  10 Sr 3.70-4.01
Li: 0.7500 0.7500 0.0000  10 Sr 3.70-4.01


No. 4
The following is a DFT calculation (PBE) of crystalline LaY2Ni at its relaxed geometry.

Calculated values
- Fermi-level density of states: 1.370 states/eV per atom
- Calculated total energy: -6.01 eV/atom
- Formation enthalpy at 0 K: -0.42 eV/f.u.
- Calculated density: 5.26 g cm⁻³

Unit cell a=9.3911 b=9.3911 c=9.3911 alpha=23.81 beta=23.81 gamma=23.81
Last column: nearest neighbours and their distance in Å.
Fractional positions:
La: 0.0000 0.0000 0.0000  6 Y 3.69-3.82, 6 La 3.87
Y: 0.5534 0.5534 0.5534  3 Ni 2.73
Y: 0.7738 0.7738 0.7738  3 Ni 2.71
Ni: 0.1629 0.1629 0.1629  6 Y 2.71-2.73


No. 5
The following is a DFT calculation (PBE) of crystalline SrRu2Pt at its relaxed geometry.

Calculated values
- Fermi-level density of states: 1.284 states/eV per atom
- Calculated total energy: -5.78 eV/atom
- Formation enthalpy at 0 K: 3.14 eV/f.u.
- Calculated density: 11.52 g cm⁻³

Unit cell a=9.9065 b=9.9065 c=9.9065 alpha=16.68 beta=16.68 gamma=16.68
Last column: nearest neighbours and their distance in Å.
Fractional positions:
Sr: 0.0000 0.0000 0.0000  6 Sr 2.87, 6 Ru 3.18
Ru: 0.2408 0.2408 0.2408  3 Pt 2.73, 6 Ru 2.87
Ru: 0.7592 0.7592 0.7592  3 Pt 2.73, 6 Ru 2.87
Pt: 0.5000 0.5000 0.5000  6 Ru 2.73, 6 Pt 2.87


No. 6
The following is a DFT calculation (PBE) of crystalline Na3Dy3SnSe8 at its relaxed geometry.

Calculated values
- Raw formation energy: -1.410 eV/atom
- Fermi-level density of states: 0.075 states/eV per atom
- Calculated total energy: -4.72 eV/atom
- Calculated density: 5.25 g cm⁻³

Unit cell a=8.5336 b=8.5336 c=8.5336 alpha=57.43 beta=57.43 gamma=57.43
Last column: nearest neighbours and their distance in Å.
Fractional positions:
Na: 0.0000 0.5000 0.5000  6 Se 3.04-3.06
Na: 0.5000 0.0000 0.5000  6 Se 3.04-3.06
Na: 0.5000 0.5000 0.0000  6 Se 3.04-3.06
Dy: 0.0000 0.0000 0.5000  6 Se 2.86-2.89
Dy: 0.0000 0.5000 0.0000  6 Se 2.86-2.89
Dy: 0.5000 0.0000 0.0000  6 Se 2.86-2.89
Sn: 0.5000 0.5000 0.5000  6 Se 2.78
Se: 0.2424 0.2424 0.2424  3 Dy 2.86, 3 Na 3.06
Se: 0.2540 0.7349 0.7349  1 Sn 2.78, 2 Dy 2.89, 2 Na 3.04
Se: 0.2651 0.2651 0.7460  1 Sn 2.78, 2 Dy 2.89, 2 Na 3.04
Se: 0.2651 0.7460 0.2651  1 Sn 2.78, 2 Dy 2.89, 2 Na 3.04
Se: 0.7349 0.2540 0.7349  1 Sn 2.78, 2 Dy 2.89, 2 Na 3.04
Se: 0.7349 0.7349 0.2540  1 Sn 2.78, 2 Dy 2.89, 2 Na 3.04
Se: 0.7460 0.2651 0.2651  1 Sn 2.78, 2 Dy 2.89, 2 Na 3.04
Se: 0.7576 0.7576 0.7576  3 Dy 2.86, 3 Na 3.06


Which of these has the lowest calculated density? Sr5Li


The highest calculated total energy belongs to which entry? Sr5Li


calculated total energy of number 5 (SrRu2Pt)? -5.78 eV/atom


What did the fourth record say?
The following is a DFT calculation (PBE) of crystalline LaY2Ni at its relaxed geometry.

Calculated values
- Fermi-level density of states: 1.370 states/eV per atom
- Calculated total energy: -6.01 eV/atom
- Formation enthalpy at 0 K: -0.42 eV/f.u.
- Calculated density: 5.26 g cm⁻³

Unit cell a=9.3911 b=9.3911 c=9.3911 alpha=23.81 beta=23.81 gamma=23.81
Last column: nearest neighbours and their distance in Å.
Fractional positions:
La: 0.0000 0.0000 0.0000  6 Y 3.69-3.82, 6 La 3.87
Y: 0.5534 0.5534 0.5534  3 Ni 2.73
Y: 0.7738 0.7738 0.7738  3 Ni 2.71
Ni: 0.1629 0.1629 0.1629  6 Y 2.71-2.73